The following is a DFT calculation (PBE-GGA) of a relaxed NaCaLaI6 crystal.

Results
**ρ**: 4.0 g/cm3
**Formation energy from raw total energies**: -13.301 eV per formula unit

Cell and atoms, written as CIF:
```
data_NaCaLaI6
_chemical_formula_sum 'Na2 Ca2 La2 I12'
_space_group_name_H-M_alt 'P -3 1 c'
_space_group_IT_number 163
_space_group_name_Hall '-P 3 2c'
_cell_length_a 8.0023
_cell_length_b 8.0023
_cell_length_c 14.5607
_cell_angle_alpha 90.00
_cell_angle_beta 90.00
_cell_angle_gamma 120.00
loop_
_atom_site_label
_atom_site_fract_x
_atom_site_fract_y
_atom_site_fract_z
Na1 0.0000 0.0000 0.0000
Ca1 0.3333 0.6667 0.2500
La1 0.3333 0.6667 0.7500
I1 0.0027 0.3490 0.1267
```